A relaxed structure of PmDyLuIn, computed with PBE-GGA.

Computed properties:
Its density of states at the Fermi level is 6.8 states/eV/cell. The formation energy from the elements comes out at -0.15 eV/atom. The space-group type is F-43m. As for the total energy: -4.306 eV per atom.

Geometry as POSCAR:
```
PmDyLuIn
1.0
5.460 0.000 0.000
2.730 4.729 0.000
2.730 1.576 4.458
Pm In Dy Lu
1 1 1 1
direct
0.500 0.500 0.500 Pm
0.250 0.250 0.250 In
0.000 0.000 0.000 Dy
0.750 0.750 0.750 Lu
```